Below is a relaxed Hf5Si4 crystal, with properties calculated at the PBEsol level.

Geometry as CIF:
```
data_Hf5Si4
_chemical_formula_sum 'Hf20 Si16'
_symmetry_space_group_name_H-M 'P 1'
_symmetry_Int_Tables_number 1
_cell_length_a 6.999
_cell_length_b 6.999
_cell_length_c 12.742
_cell_angle_alpha 90.00
_cell_angle_beta 90.00
_cell_angle_gamma 90.00
loop_
_symmetry_equiv_pos_as_xyz
'x,y,z'
loop_
_atom_site_label
_atom_site_type_symbol
_atom_site_fract_x
_atom_site_fract_y
_atom_site_fract_z
_atom_site_occupancy
Hf1 Hf 0.674 0.326 0.750 1
Hf2 Hf 0.326 0.674 0.250 1
Hf3 Hf 0.826 0.826 0.500 1
Hf4 Hf 0.174 0.174 0.000 1
Hf5 Hf 0.498 0.153 0.533 1
Hf6 Hf 0.502 0.847 0.033 1
Hf7 Hf 0.653 0.002 0.283 1
Hf8 Hf 0.347 0.998 0.783 1
Hf9 Hf 0.847 0.502 0.967 1
Hf10 Hf 0.153 0.498 0.467 1
Hf11 Hf 0.002 0.653 0.717 1
Hf12 Hf 0.998 0.347 0.217 1
Hf13 Hf 0.499 0.353 0.126 1
Hf14 Hf 0.501 0.647 0.626 1
Hf15 Hf 0.853 0.001 0.876 1
Hf16 Hf 0.147 0.999 0.376 1
Hf17 Hf 0.647 0.501 0.374 1
Hf18 Hf 0.353 0.499 0.874 1
Hf19 Hf 0.001 0.853 0.124 1
Hf20 Hf 0.999 0.147 0.624 1
Si1 Si 0.795 0.146 0.073 1
Si2 Si 0.205 0.854 0.573 1
Si3 Si 0.646 0.705 0.823 1
Si4 Si 0.354 0.295 0.323 1
Si5 Si 0.854 0.205 0.427 1
Si6 Si 0.146 0.795 0.927 1
Si7 Si 0.705 0.646 0.177 1
Si8 Si 0.295 0.354 0.677 1
Si9 Si 0.547 0.197 0.936 1
Si10 Si 0.453 0.803 0.436 1
Si11 Si 0.697 0.953 0.686 1
Si12 Si 0.303 0.047 0.186 1
Si13 Si 0.803 0.453 0.564 1
Si14 Si 0.197 0.547 0.064 1
Si15 Si 0.953 0.697 0.314 1
Si16 Si 0.047 0.303 0.814 1
```

Output
energy relative to the elements, uncorrected: -875 meV/atom
raw total energy: -9.264 eV/atom
V: 17.336 Å³/atom